1.
This record from the Alexandria database describes CoTe2Os after structural relaxation. The functional is PBE-GGA. Values from VASP.

Energy relative to the lowest polymorph listed for this composition in eV/atom: 0.4596
Magnetic moment in μB/cell: 1.785
Raw total energy in eV per atom: -5.579
Formation energy (no corrections) in eV/atom: 0.576

The structure in Quantum ESPRESSO input format:
```
&SYSTEM
  ibrav = 0, nat = 4, ntyp = 3
/
ATOMIC_SPECIES
Co 58.93 Co.upf
Te 127.60 Te.upf
Os 190.23 Os.upf
ATOMIC_POSITIONS angstrom
Co 0.000 0.000 0.000
Te 0.873 0.000 4.367
Te 5.468 0.000 1.429
Os 3.170 0.000 2.898
CELL_PARAMETERS angstrom
3.894 -1.667 0.000
3.894 1.667 0.000
-1.447 0.000 5.796
```


2.
This record from the Alexandria database describes CoTe2Os after structural relaxation. The functional is PBE-GGA. Values from VASP.

Energy relative to the lowest polymorph listed for this composition in eV/atom: 0.7650
Magnetic moment in μB/cell: 0.000
Raw total energy in eV per atom: -5.273
Formation energy (no corrections) in eV/atom: 0.882

The structure in Quantum ESPRESSO input format:
```
&SYSTEM
  ibrav = 0, nat = 4, ntyp = 3
/
ATOMIC_SPECIES
Co 58.93 Co.upf
Te 127.60 Te.upf
Os 190.23 Os.upf
ATOMIC_POSITIONS angstrom
Co 0.000 0.000 0.000
Te 0.000 0.000 4.752
Te 0.000 1.948 2.376
Os 1.948 0.000 2.376
CELL_PARAMETERS angstrom
-1.948 1.948 4.752
1.948 -1.948 4.752
1.948 1.948 -4.752
```


3.
This record from the Alexandria database describes CoTeOs after structural relaxation. The functional is PBE-GGA. Values from VASP.

Energy relative to the lowest polymorph listed for this composition in eV/atom: 0.2602
Magnetic moment in μB/cell: 0.131
Raw total energy in eV per atom: -6.393
Formation energy (no corrections) in eV/atom: 0.766

The structure in Quantum ESPRESSO input format:
```
&SYSTEM
  ibrav = 0, nat = 3, ntyp = 3
/
ATOMIC_SPECIES
Co 58.93 Co.upf
Te 127.60 Te.upf
Os 190.23 Os.upf
ATOMIC_POSITIONS angstrom
Co 0.000 0.000 0.000
Te 0.000 2.420 0.089
Os 2.096 1.210 1.524
CELL_PARAMETERS angstrom
4.192 0.000 0.000
-2.096 3.630 0.000
0.000 0.000 3.046
```


4.
This record from the Alexandria database describes CoTe2Os after structural relaxation. The functional is PBE-GGA. Values from VASP.

Energy relative to the lowest polymorph listed for this composition in eV/atom: 0.4486
Magnetic moment in μB/cell: 0.000
Raw total energy in eV per atom: -5.590
Formation energy (no corrections) in eV/atom: 0.565

The structure in Quantum ESPRESSO input format:
```
&SYSTEM
  ibrav = 0, nat = 4, ntyp = 3
/
ATOMIC_SPECIES
Co 58.93 Co.upf
Te 127.60 Te.upf
Os 190.23 Os.upf
ATOMIC_POSITIONS angstrom
Co 0.000 0.000 0.000
Te 0.000 0.000 5.806
Te 0.000 0.000 16.826
Os 0.000 0.000 11.316
CELL_PARAMETERS angstrom
1.661 0.959 7.544
-1.661 0.959 7.544
0.000 -1.918 7.544
```


> Which formula does entry 4 have?

CoTe2Os


> Among the records above, which one has the lowest formation energy (no corrections)?

number 4